A plane-wave DFT calculation with PBE was carried out for crystalline Ca3Tl2Bi at its relaxed geometry.

D(E_F), states/eV/f.u.: 2.24
E, eV per cell: -18.0
Total magnetization, μB per formula unit: 0.00

Cell: 5.514 5.514 6.877 Å, 90.00 90.00 120.00°
Fractional coordinates of all 6 atoms:
Ca: 0.000 0.000 0.000
Ca: 0.333 0.667 0.656
Ca: 0.667 0.333 0.344
Tl: 0.333 0.667 0.137
Tl: 0.667 0.333 0.863
Bi: 0.000 0.000 0.500